Entry 1:
{
  "formula": "Ag6HgAu8",
  "functional": "PBE-GGA",
  "state": "optimized geometry",
  "cell": [[7.807, 0.000, 0.000], [3.904, 6.761, 0.000], [3.904, 2.254, 5.644]],
  "species": ["Ag", "Ag", "Au", "Au", "Au", "Au", "Au", "Ag", "Au", "Au", "Ag", "Hg", "Ag", "Au", "Ag"],
  "frac_coords": [[0.638, 0.900, 0.114], [0.900, 0.348, 0.114], [0.864, 0.548, 0.394], [0.452, 0.806, 0.606], [0.548, 0.194, 0.394], [0.194, 0.864, 0.394], [0.250, 0.250, 0.249], [0.348, 0.638, 0.114], [0.136, 0.452, 0.606], [0.750, 0.750, 0.751], [0.100, 0.652, 0.886], [0.000, 0.000, 0.000], [0.362, 0.100, 0.886], [0.806, 0.136, 0.606], [0.652, 0.362, 0.886]],
  "e_form_ev_per_atom": 0.07
}

Entry 2:
{
  "formula": "Ag2Hg2Au",
  "functional": "PBE-GGA",
  "state": "optimized geometry",
  "cell": [[-5.502, 1.746, 5.026], [2.126, -5.906, 4.380], [2.281, 2.125, 1.759]],
  "species": ["Hg", "Ag", "Au", "Hg", "Ag", "Au", "Ag", "Hg", "Ag", "Hg"],
  "frac_coords": [[0.655, 0.155, 0.000], [0.357, 0.143, 0.500], [0.500, 0.500, 0.000], [0.155, 0.345, 0.000], [0.143, 0.643, 0.500], [0.000, 0.000, 0.000], [0.857, 0.357, 0.500], [0.845, 0.655, 0.000], [0.643, 0.857, 0.500], [0.345, 0.845, 0.000]],
  "e_form_ev_per_atom": 0.16,
  "de_polymorph_mev_per_atom": 101
}

Entry 3:
{
  "formula": "AgHgAu3",
  "functional": "PBE-GGA",
  "state": "optimized geometry",
  "cell": [[-0.180, 3.679, 3.660], [0.072, -3.795, 3.818], [8.241, -1.619, 2.032]],
  "species": ["Au", "Au", "Hg", "Ag", "Au", "Ag", "Au", "Hg", "Au", "Au"],
  "frac_coords": [[0.750, 0.552, 0.403], [0.000, 0.000, 0.000], [0.250, 0.548, 0.905], [0.750, 0.151, 0.699], [0.250, 0.448, 0.597], [0.250, 0.849, 0.301], [0.500, 0.000, 0.000], [0.750, 0.452, 0.095], [0.750, 0.045, 0.403], [0.250, 0.955, 0.597]],
  "e_form_ev_per_atom": 0.17,
  "de_polymorph_mev_per_atom": 145
}